Record 1
{"formula": "TbSmErMg", "functional": "PBE", "state": "relaxed", "polymorph_energy_ev_per_atom": 0.0000, "delta_e_f_ev_per_fu": -0.11, "m_tot_mub_per_fu": 0.000, "total_energy_ev_per_cell": -15.616, "lattice": [[3.614, 0.000, 0.000], [0.000, 3.614, 0.000], [0.000, 0.000, 9.162]], "species": ["Sm", "Tb", "Mg", "Er"], "frac_coords": [[0.000, 0.000, 0.073], [0.500, 0.500, 0.802], [0.000, 0.000, 0.568], [0.500, 0.500, 0.342]]}

=====

Record 2
{"formula": "ZrTlCu", "functional": "PBE", "state": "relaxed", "delta_e_f_ev_per_fu": 0.15, "m_tot_mub_per_fu": 0.000, "total_energy_ev_per_cell": -29.720, "lattice": [[7.209, 0.029, -0.028], [-0.764, 3.225, -0.003], [-0.998, -0.232, 5.141]], "species": ["Cu", "Cu", "Zr", "Zr", "Tl", "Tl"], "frac_coords": [[0.010, 0.278, 0.457], [0.056, 0.801, 0.822], [0.376, 0.458, 0.833], [0.691, 0.623, 0.446], [0.299, 0.924, 0.308], [0.768, 0.157, 0.971]]}

=====

Record 3
{"formula": "KCa2Ta", "functional": "PBE", "state": "relaxed", "polymorph_energy_ev_per_atom": 0.7332, "delta_e_f_ev_per_fu": 5.48, "m_tot_mub_per_fu": 4.000, "total_energy_ev_per_cell": -22.938, "lattice": [[5.155, 0.000, 0.000], [0.000, 5.155, 0.000], [2.577, 2.577, 11.706]], "species": ["Ca", "Ca", "Ca", "Ca", "Ta", "Ta", "K", "K"], "frac_coords": [[0.375, 0.350, 0.750], [0.100, 0.625, 0.250], [0.650, 0.125, 0.250], [0.875, 0.900, 0.750], [0.750, 0.250, 0.500], [0.000, 0.000, 0.000], [0.500, 0.500, 0.000], [0.250, 0.750, 0.500]]}

=====

Record 4
{"formula": "TiSbOs", "functional": "PBE", "state": "relaxed", "raw_formation_energy_ev_per_atom": -0.1413, "m_tot_mub_per_fu": 0.000, "total_energy_ev_per_cell": -47.342, "lattice": [[3.239, 0.000, 0.000], [0.000, 3.239, 0.000], [-1.620, -1.620, 11.270]], "species": ["Os", "Os", "Sb", "Sb", "Ti", "Ti"], "frac_coords": [[0.289, 0.289, 0.578], [0.711, 0.711, 0.422], [0.575, 0.575, 0.151], [0.425, 0.425, 0.849], [0.844, 0.844, 0.687], [0.156, 0.156, 0.313]]}